[1]
{"formula": "Zn3BiBr9", "functional": "GGA-PBE", "state": "relaxed", "cell": [[8.7615, 0.0000, 3.6868], [4.0131, 9.3026, 2.7172], [0.3121, -0.2348, 11.5122]], "species": ["Zn", "Zn", "Zn", "Zn", "Zn", "Zn", "Bi", "Bi", "Br", "Br", "Br", "Br", "Br", "Br", "Br", "Br", "Br", "Br", "Br", "Br", "Br", "Br", "Br", "Br", "Br", "Br"], "frac_coords": [[0.8115, 0.5468, 0.6703], [0.9714, 0.0468, 0.1703], [0.9918, 0.9516, 0.8320], [0.2247, 0.4516, 0.3320], [0.5967, 0.2439, 0.7181], [0.4413, 0.7439, 0.2181], [0.0204, 0.4976, 0.0052], [0.4768, 0.9976, 0.5052], [0.3107, 0.1955, 0.3280], [0.1658, 0.6955, 0.8280], [0.3848, 0.2986, 0.9292], [0.3874, 0.7986, 0.4292], [0.1643, 0.0920, 0.7116], [0.0321, 0.5920, 0.2116], [0.7137, 0.7509, 0.0629], [0.4725, 0.2509, 0.5629], [0.8401, 0.9339, 0.3744], [0.8516, 0.4339, 0.8744], [0.5751, 0.7824, 0.7050], [0.9375, 0.2824, 0.2050], [0.4815, 0.4955, 0.2252], [0.7978, 0.9955, 0.7252], [0.7441, 0.4003, 0.5834], [0.2721, 0.9003, 0.0834], [0.8211, 0.0685, 0.0325], [0.0779, 0.5685, 0.5325]], "space_group": "No. 9", "formation_energy_uncorrected_ev_per_atom": -0.787}


[2]
{"formula": "Ba2YZn", "functional": "GGA-PBE", "state": "relaxed", "cell": [[9.7598, 1.8445, -0.2035], [6.8956, 7.1488, 0.2035], [-7.9775, -5.1453, 2.9297]], "species": ["Ba", "Ba", "Y", "Zn"], "frac_coords": [[0.0936, 0.0936, 0.0000], [0.4064, 0.4064, 0.0000], [0.7500, 0.2500, 0.5000], [0.2500, 0.7500, 0.5000]], "space_group": "No. 71", "e_form_mev_per_atom": 66.1}


[3]
{"formula": "Ca2Ga6Ir", "functional": "GGA-PBE", "state": "relaxed", "cell": [[4.2461, 0.0000, 0.4855], [0.0000, 6.9329, 0.0000], [-0.6712, -3.4665, 5.8976]], "species": ["Ca", "Ca", "Ga", "Ga", "Ga", "Ga", "Ga", "Ga", "Ir"], "frac_coords": [[0.4998, 0.7809, 0.5618], [0.5002, 0.2191, 0.4382], [0.0001, 0.4369, 0.2663], [0.9999, 0.1706, 0.7337], [0.9999, 0.5631, 0.7337], [0.5000, 0.2317, 0.0000], [0.0001, 0.8294, 0.2663], [0.5000, 0.7683, 0.0000], [0.0000, 0.0000, 0.0000]], "space_group": "No. 65", "relative_energy_mev_per_atom": 73, "e_form_mev_per_atom": -409.1}


[4]
{"formula": "U4Ga6Co7", "functional": "GGA-PBE", "state": "relaxed", "cell": [[6.6419, 0.0000, -2.3483], [-3.3210, 5.7521, -2.3483], [0.0000, 0.0000, 7.0448]], "species": ["U", "U", "U", "U", "Ga", "Ga", "Ga", "Ga", "Ga", "Ga", "Co", "Co", "Co", "Co", "Co", "Co", "Co"], "frac_coords": [[0.5000, 0.0000, 0.0000], [0.5000, 0.5000, 0.5000], [0.0000, 0.5000, 0.0000], [0.0000, 0.0000, 0.5000], [0.6780, 0.0000, 0.6780], [0.6780, 0.6780, 0.0000], [0.0000, 0.3220, 0.3220], [0.3220, 0.0000, 0.3220], [0.3220, 0.3220, 0.0000], [0.0000, 0.6780, 0.6780], [0.7500, 0.5000, 0.2500], [0.2500, 0.7500, 0.5000], [0.5000, 0.7500, 0.2500], [0.7500, 0.2500, 0.5000], [0.2500, 0.5000, 0.7500], [0.5000, 0.2500, 0.7500], [0.0000, 0.0000, 0.0000]], "space_group": "No. 229", "e_form_mev_per_atom": -164.0}


| no. | energy (eV per atom) |
| --- | --- |
| 1 | -2.54 |
| 2 | -2.83 |
| 3 | -3.86 |
| 4 | -6.81 |